[1]
DFT (GGA-PBEsol) results for a relaxed La2HgSe crystal.

a b c (Å): 4.7650 5.4526 8.1858
angles (deg): 90.00 90.00 90.00
Space group Immm (No. 71)
One atom of each set of equivalent atoms:
La1 0.0000 0.0000 0.2411 x4
Hg1 0.0000 0.5000 0.0000 x2
Se1 0.0000 0.5000 0.5000 x2

Values from the calculation:
* distance to the lowest polymorph of the same formula: 217 meV per atom
* uncorrected formation energy: -3.92 eV/f.u.

[2]
DFT (GGA-PBEsol) results for a relaxed SrLaHgSe2 crystal.

a b c (Å): 5.6138 5.6138 6.8610
angles (deg): 90.00 90.00 90.00
Space group P4/mmm (No. 123)
One atom of each set of equivalent atoms:
Sr1 0.0000 0.0000 0.0000 x1
La1 0.0000 0.0000 0.5000 x1
Hg1 0.5000 0.5000 0.0000 x1
Se1 0.0000 0.5000 0.5000 x2

Values from the calculation:
* uncorrected formation energy: -1.92 eV/f.u.

[3]
DFT (GGA-PBEsol) results for a relaxed LaSiHg crystal.

a b c (Å): 6.7405 6.7405 6.7405
angles (deg): 90.00 90.00 90.00
Space group F-43m (No. 216)
One atom of each set of equivalent atoms:
La1 0.0000 0.0000 0.0000 x4
Si1 0.2500 0.2500 0.7500 x4
Hg1 0.0000 0.0000 0.5000 x4

Values from the calculation:
* uncorrected formation energy: -1.06 eV/f.u.

[4]
DFT (GGA-PBEsol) results for a relaxed LaSiHg crystal.

a b c (Å): 4.3798 4.3798 4.3250
angles (deg): 90.00 90.00 120.00
Space group P3m1 (No. 156)
One atom of each set of equivalent atoms:
La1 0.0000 0.0000 0.0000 x1
Si1 0.6667 0.3333 0.4985 x1
Hg1 0.3333 0.6667 0.5007 x1

Values from the calculation:
* uncorrected formation energy: -1.81 eV/f.u.

[5]
DFT (GGA-PBEsol) results for a relaxed La4SiHg crystal.

a b c (Å): 8.8209 8.8209 8.8209
angles (deg): 90.00 90.00 90.00
Space group F-43m (No. 216)
One atom of each set of equivalent atoms:
La1 0.1228 0.1228 0.1228 x16
Si1 0.2500 0.2500 0.7500 x4
Hg1 0.0000 0.0000 0.5000 x4

Values from the calculation:
* uncorrected formation energy: 1.47 eV/f.u.

[6]
DFT (GGA-PBEsol) results for a relaxed LaSi2Hg2 crystal.

a b c (Å): 4.6924 4.6924 10.0047
angles (deg): 90.00 90.00 90.00
Space group I4/mmm (No. 139)
One atom of each set of equivalent atoms:
La1 0.0000 0.0000 0.0000 x2
Si1 0.0000 0.5000 0.2500 x4
Hg1 0.0000 0.0000 0.3648 x4

Values from the calculation:
* uncorrected formation energy: -1.00 eV/f.u.

[7]
DFT (GGA-PBEsol) results for a relaxed LaSi2Hg crystal.

a b c (Å): 3.6496 3.6496 6.4580
angles (deg): 90.00 90.00 90.00
Space group P4/mmm (No. 123)
One atom of each set of equivalent atoms:
La1 0.0000 0.0000 0.0000 x1
Si1 0.5000 0.5000 0.3134 x2
Hg1 0.0000 0.0000 0.5000 x1

Values from the calculation:
* uncorrected formation energy: -0.48 eV/f.u.

[8]
DFT (GGA-PBEsol) results for a relaxed La2YSiHg crystal.

a b c (Å): 5.6737 5.6737 5.1485
angles (deg): 90.00 90.00 90.00
Space group P4/mmm (No. 123)
One atom of each set of equivalent atoms:
La1 0.0000 0.5000 0.0000 x2
Y1 0.0000 0.0000 0.0000 x1
Si1 0.0000 0.0000 0.5000 x1
Hg1 0.5000 0.5000 0.5000 x1

Values from the calculation:
* uncorrected formation energy: 2.84 eV/f.u.